(1)
Material: Li2SiAg2
Method: DFT, PBE-GGA
State: relaxed

## Properties
* formation energy (no corrections): -0.03 eV/atom
* total moment: 0.00 μB per cell
* relative energy among the computed polymorphs: 0.1089 eV/atom
* D(E_F): 0.218 states/eV per atom

Lattice parameters (Å, degrees): 7.187 7.187 3.072 90.00 90.00 90.00
Element x y z (fractional)
Si1 0.000 0.000 0.000
Si2 0.500 0.500 0.000
Ag1 0.359 0.859 0.000
Ag2 0.859 0.641 0.000
Ag3 0.641 0.141 0.000
Ag4 0.141 0.359 0.000
Li1 0.161 0.661 0.500
Li2 0.661 0.839 0.500
Li3 0.839 0.339 0.500
Li4 0.339 0.161 0.500

(2)
Material: Li3Si2Ag4
Method: DFT, PBE-GGA
State: relaxed

## Properties
* formation energy (no corrections): -0.15 eV/atom
* total moment: 0.00 μB per cell
* D(E_F): 0.278 states/eV per atom

Lattice parameters (Å, degrees): 4.442 4.443 8.146 90.02 90.01 60.00
Element x y z (fractional)
Li1 0.333 0.333 0.436
Li2 0.000 0.000 0.000
Li3 0.667 0.667 0.564
Si1 0.333 0.333 0.768
Si2 0.667 0.667 0.232
Ag1 0.667 0.666 0.898
Ag2 0.000 0.000 0.324
Ag3 0.000 0.000 0.676
Ag4 0.333 0.334 0.102

(3)
Material: LiSiAg2
Method: DFT, PBE-GGA
State: relaxed

## Properties
* formation energy (no corrections): -0.03 eV/atom
* total moment: 0.00 μB per cell
* D(E_F): 0.256 states/eV per atom

Lattice parameters (Å, degrees): 4.941 4.941 4.941 132.91 132.91 68.80
Element x y z (fractional)
Si1 0.750 0.250 0.500
Ag1 0.000 0.000 0.000
Ag2 0.250 0.750 0.500
Li1 0.500 0.500 0.000

(4)
Material: Li5SiAg8
Method: DFT, PBE-GGA
State: relaxed

## Properties
* formation energy (no corrections): -0.05 eV/atom
* total moment: 0.00 μB per cell
* D(E_F): 0.341 states/eV per atom

Lattice parameters (Å, degrees): 6.743 6.743 6.743 109.99 108.43 109.99
Element x y z (fractional)
Li1 0.038 0.339 0.137
Li2 0.863 0.901 0.202
Li3 0.798 0.661 0.699
Li4 0.500 0.000 0.500
Li5 0.301 0.099 0.962
Si1 0.250 0.500 0.750
Ag1 0.170 0.736 0.067
Ag2 0.933 0.102 0.668
Ag3 0.728 0.259 0.329
Ag4 0.671 0.398 0.929
Ag5 0.531 0.602 0.272
Ag6 0.566 0.898 0.830
Ag7 0.332 0.264 0.434
Ag8 0.071 0.741 0.469

(5)
Material: Li6SiAg2
Method: DFT, PBE-GGA
State: relaxed

## Properties
* formation energy (no corrections): 0.00 eV/atom
* total moment: 0.00 μB per cell
* relative energy among the computed polymorphs: 0.1852 eV/atom
* D(E_F): 0.137 states/eV per atom

Lattice parameters (Å, degrees): 4.378 6.234 7.732 113.77 106.31 90.00
Element x y z (fractional)
Li1 0.154 0.389 0.315
Li2 0.846 0.074 0.685
Li3 0.846 0.611 0.685
Li4 0.500 0.226 0.000
Li5 0.154 0.926 0.315
Li6 0.500 0.774 0.000
Si1 0.000 0.000 0.000
Ag1 0.662 0.666 0.333
Ag2 0.338 0.334 0.667

(6)
Material: Li5SiAg4
Method: DFT, PBE-GGA
State: relaxed

## Properties
* formation energy (no corrections): -0.18 eV/atom
* total moment: 0.00 μB per cell
* D(E_F): 0.268 states/eV per atom

Lattice parameters (Å, degrees): 3.077 3.076 16.327 90.00 90.00 90.00
Element x y z (fractional)
Li1 0.500 0.500 0.091
Li2 0.500 0.500 0.294
Li3 0.500 0.500 0.500
Li4 0.500 0.500 0.706
Li5 0.500 0.500 0.909
Si1 0.000 0.000 0.000
Ag1 0.000 0.000 0.190
Ag2 0.000 0.000 0.396
Ag3 0.000 0.000 0.604
Ag4 0.000 0.000 0.810

(7)
Material: Li4SiAg2
Method: DFT, PBE-GGA
State: relaxed

## Properties
* formation energy (no corrections): -0.09 eV/atom
* total moment: 0.00 μB per cell
* D(E_F): 0.292 states/eV per atom

Lattice parameters (Å, degrees): 2.834 6.931 7.065 119.80 101.57 90.00
Element x y z (fractional)
Li1 0.918 0.266 0.835
Li2 0.082 0.734 0.165
Li3 0.628 0.372 0.256
Li4 0.372 0.628 0.744
Si1 0.000 0.000 0.000
Ag1 0.774 0.832 0.549
Ag2 0.226 0.168 0.451

(8)
Material: LiSiAg2
Method: DFT, PBE-GGA
State: relaxed

## Properties
* formation energy (no corrections): 0.02 eV/atom
* total moment: 0.00 μB per cell
* D(E_F): 0.371 states/eV per atom

Lattice parameters (Å, degrees): 2.785 2.785 8.373 90.00 90.00 90.07
Element x y z (fractional)
Ag1 0.000 0.000 0.987
Ag2 0.500 0.500 0.261
Li1 0.000 0.000 0.510
Si1 0.500 0.500 0.741

(9)
Material: LiSiAg2
Method: DFT, PBE-GGA
State: relaxed

## Properties
* formation energy (no corrections): 0.01 eV/atom
* total moment: 0.00 μB per cell
* D(E_F): 0.583 states/eV per atom

Lattice parameters (Å, degrees): 4.506 4.506 4.505 59.99 59.99 60.00
Element x y z (fractional)
Li1 0.750 0.750 0.750
Si1 0.500 0.500 0.500
Ag1 0.000 0.000 0.000
Ag2 0.250 0.250 0.250

(10)
Material: Li14SiAg
Method: DFT, PBE-GGA
State: relaxed

## Properties
* formation energy (no corrections): -0.07 eV/atom
* total moment: 0.00 μB per cell
* D(E_F): 0.362 states/eV per atom

Lattice parameters (Å, degrees): 6.387 6.387 6.938 90.00 90.00 90.00
Element x y z (fractional)
Li1 0.875 0.875 0.000
Li2 0.375 0.375 0.000
Li3 0.875 0.375 0.500
Li4 0.875 0.375 0.000
Li5 0.375 0.875 0.500
Li6 0.375 0.875 0.000
Li7 0.635 0.115 0.274
Li8 0.635 0.115 0.726
Li9 0.115 0.635 0.274
Li10 0.115 0.635 0.726
Li11 0.634 0.634 0.274
Li12 0.634 0.634 0.726
Li13 0.116 0.116 0.274
Li14 0.116 0.116 0.726
Si1 0.875 0.875 0.500
Ag1 0.375 0.375 0.500

(11)
Material: Li5SiAg2
Method: DFT, PBE-GGA
State: relaxed

## Properties
* formation energy (no corrections): -0.20 eV/atom
* total moment: 0.00 μB per cell
* D(E_F): 0.374 states/eV per atom

Lattice parameters (Å, degrees): 4.472 4.472 6.866 109.01 109.01 90.00
Element x y z (fractional)
Li1 0.500 0.500 0.000
Li2 0.881 0.381 0.761
Li3 0.381 0.881 0.761
Li4 0.119 0.619 0.239
Li5 0.619 0.119 0.239
Si1 0.000 0.000 0.000
Ag1 0.760 0.760 0.519
Ag2 0.240 0.240 0.481

(12)
Material: Li3SiAg3
Method: DFT, PBE-GGA
State: relaxed

## Properties
* formation energy (no corrections): -0.18 eV/atom
* total moment: 0.00 μB per cell
* D(E_F): 0.309 states/eV per atom

Lattice parameters (Å, degrees): 4.695 7.371 7.371 120.00 90.00 90.00
Element x y z (fractional)
Li1 0.750 0.611 0.510
Li2 0.750 0.490 0.101
Li3 0.750 0.899 0.389
Li4 0.250 0.389 0.490
Li5 0.250 0.510 0.899
Li6 0.250 0.101 0.611
Si1 0.250 0.667 0.333
Si2 0.750 0.333 0.667
Ag1 0.250 0.822 0.738
Ag2 0.250 0.262 0.084
Ag3 0.250 0.916 0.178
Ag4 0.750 0.178 0.262
Ag5 0.750 0.738 0.916
Ag6 0.750 0.084 0.822

(13)
Material: Li4SiAg3
Method: DFT, PBE-GGA
State: relaxed

## Properties
* formation energy (no corrections): -0.06 eV/atom
* total moment: 0.00 μB per cell
* D(E_F): 0.385 states/eV per atom

Lattice parameters (Å, degrees): 2.883 4.383 10.872 101.63 90.00 90.00
Element x y z (fractional)
Si1 0.000 0.500 0.000
Ag1 0.500 0.000 0.000
Ag2 0.000 0.161 0.323
Ag3 0.000 0.839 0.677
Li1 0.500 0.400 0.800
Li2 0.500 0.600 0.200
Li3 0.499 0.721 0.442
Li4 0.501 0.279 0.558

(14)
Material: Li3SiAg
Method: DFT, PBE-GGA
State: relaxed

## Properties
* formation energy (no corrections): -0.19 eV/atom
* total moment: 0.00 μB per cell
* relative energy among the computed polymorphs: 0.0121 eV/atom
* D(E_F): 0.170 states/eV per atom

Lattice parameters (Å, degrees): 5.919 7.753 7.292 90.00 90.00 90.00
Element x y z (fractional)
Li1 0.893 0.171 0.068
Li2 0.607 0.671 0.568
Li3 0.607 0.671 0.932
Li4 0.107 0.829 0.568
Li5 0.107 0.829 0.932
Li6 0.393 0.329 0.432
Li7 0.393 0.329 0.068
Li8 0.893 0.171 0.432
Li9 0.180 0.177 0.750
Li10 0.320 0.677 0.250
Li11 0.820 0.823 0.250
Li12 0.680 0.323 0.750
Si1 0.289 0.513 0.750
Si2 0.211 0.013 0.250
Si3 0.711 0.487 0.250
Si4 0.789 0.987 0.750
Ag1 0.000 0.500 0.000
Ag2 0.500 0.000 0.500
Ag3 0.500 0.000 0.000
Ag4 0.000 0.500 0.500

(15)
Material: LiSi3Ag
Method: DFT, PBE-GGA
State: relaxed

## Properties
* formation energy (no corrections): 0.83 eV/atom
* total moment: 0.00 μB per cell
* relative energy among the computed polymorphs: 0.0000 eV/atom
* D(E_F): 0.487 states/eV per atom

Lattice parameters (Å, degrees): 4.429 4.429 4.429 90.00 90.00 90.00
Element x y z (fractional)
Si1 0.000 0.500 0.000
Si2 0.000 0.000 0.500
Si3 0.500 0.000 0.000
Ag1 0.500 0.500 0.500
Li1 0.000 0.000 0.000

(16)
Material: LiSmSiAg
Method: DFT, PBE-GGA
State: relaxed

## Properties
* formation energy (no corrections): -0.33 eV/atom
* total moment: 0.00 μB per cell
* D(E_F): 0.425 states/eV per atom

Lattice parameters (Å, degrees): 4.873 4.873 4.873 60.00 60.00 60.00
Element x y z (fractional)
Si1 0.500 0.500 0.500
Ag1 0.000 0.000 0.000
Sm1 0.250 0.250 0.250
Li1 0.750 0.750 0.750

(17)
Material: LiSiAg2Te4
Method: DFT, PBE-GGA
State: relaxed

## Properties
* formation energy (no corrections): -0.22 eV/atom
* total moment: 0.00 μB per cell
* D(E_F): 0.837 states/eV per atom

Lattice parameters (Å, degrees): 6.300 6.300 7.677 114.20 114.20 90.05
Element x y z (fractional)
Li1 0.000 0.000 0.000
Si1 0.500 0.500 0.000
Ag1 0.750 0.250 0.500
Ag2 0.250 0.750 0.500
Te1 0.617 0.617 0.766
Te2 0.383 0.851 0.234
Te3 0.851 0.383 0.234
Te4 0.149 0.149 0.766

(18)
Material: LiTiSi2Ag
Method: DFT, PBE-GGA
State: relaxed

## Properties
* formation energy (no corrections): 0.94 eV/atom
* total moment: 1.95 μB per cell
* D(E_F): 0.299 states/eV per atom

Lattice parameters (Å, degrees): 4.768 5.122 4.768 90.00 90.00 90.00
Each line ends with the local moment (μB).
Element x y z (fractional)
Si1 0.000 0.000 0.500  0.00
Si2 0.500 0.000 0.000  -0.02
Li1 0.500 0.500 0.500  0.02
Ag1 0.000 0.000 0.000  0.03
Ti1 0.000 0.500 0.000  1.48

(19)
Material: LiZnSiAg
Method: DFT, PBE-GGA
State: relaxed

## Properties
* formation energy (no corrections): -0.04 eV/atom
* total moment: 0.00 μB per cell
* D(E_F): 0.227 states/eV per atom

Lattice parameters (Å, degrees): 4.417 4.417 4.417 60.00 60.00 60.00
Element x y z (fractional)
Zn1 0.250 0.250 0.250
Si1 0.500 0.500 0.500
Ag1 0.750 0.750 0.750
Li1 0.000 0.000 0.000

(20)
Material: Li2ZrSiAg
Method: DFT, PBE-GGA
State: relaxed

## Properties
* formation energy (no corrections): 0.42 eV/atom
* total moment: 0.00 μB per cell
* D(E_F): 0.734 states/eV per atom

Lattice parameters (Å, degrees): 4.508 4.616 4.508 90.00 90.00 90.00
Element x y z (fractional)
Si1 0.000 0.000 0.000
Zr1 0.500 0.500 0.500
Ag1 0.000 0.500 0.000
Li1 0.000 0.000 0.500
Li2 0.500 0.000 0.000